Entry 1:
## LaTbBe2Si2 (PBE)

Data for crystalline LaTbBe2Si2 at its relaxed geometry.

Cell and atoms, written as POSCAR:
```
LaTbBe2Si2
1.0
-2.563 -2.666 -1.359
0.876 0.111 3.839
-6.343 5.440 1.290
Si Be Tb La
2 2 1 1
Direct
0.333 0.667 0.238
0.667 0.333 0.762
0.667 0.333 0.237
0.333 0.667 0.763
0.000 0.000 0.000
0.000 0.000 0.500
```

=====

Entry 2:
## La2BeZnSi2 (PBE)

Data for crystalline La2BeZnSi2 at its relaxed geometry.

Cell and atoms, written as POSCAR:
```
La2BeZnSi2
1.0
-3.933 1.196 -0.244
1.913 -1.477 -3.334
-2.594 -8.100 2.100
La Zn Be Si
2 1 1 2
Direct
0.000 0.000 0.255
0.000 0.000 0.745
0.333 0.667 0.000
0.667 0.333 0.500
0.667 0.333 0.000
0.333 0.667 0.500
```

=====

Entry 3:
## LaTaBe (PBE)

Data for crystalline LaTaBe at its relaxed geometry.

Cell and atoms, written as POSCAR:
```
LaTaBe
1.0
0.000 3.329 3.329
3.329 0.000 3.329
3.329 3.329 0.000
Ta La Be
1 1 1
Direct
0.750 0.750 0.750
0.000 0.000 0.000
0.250 0.250 0.250
```

## Properties
Energy above the lowest structure with this stoichiometry ... 559 meV/atom

=====

Entry 4:
## LaBeTcTe (PBE)

Data for crystalline LaBeTcTe at its relaxed geometry.

Cell and atoms, written as POSCAR:
```
LaBeTcTe
1.0
4.177 1.416 2.167
-0.074 3.556 3.391
0.810 -1.091 4.722
La Te Tc Be
1 1 1 1
Direct
0.250 0.250 0.250
0.500 0.500 0.500
0.000 0.000 0.000
0.750 0.750 0.750
```

## Properties
Energy above the lowest structure with this stoichiometry ... 366 meV/atom

=====

Entry 5:
## LaBeTcTe (PBE)

Data for crystalline LaBeTcTe at its relaxed geometry.

Cell and atoms, written as POSCAR:
```
LaBeTcTe
1.0
3.844 -2.875 -0.610
2.323 -1.784 3.852
-0.314 -4.714 1.046
Tc Be Te La
1 1 1 1
Direct
0.000 0.000 0.000
0.750 0.750 0.750
0.250 0.250 0.250
0.500 0.500 0.500
```

## Properties
Energy above the lowest structure with this stoichiometry ... 0 meV/atom

=====

Entry 6:
## LaThBe (PBE)

Data for crystalline LaThBe at its relaxed geometry.

Cell and atoms, written as POSCAR:
```
LaThBe
1.0
0.000 3.446 3.446
3.446 0.000 3.446
3.446 3.446 0.000
Th La Be
1 1 1
Direct
0.750 0.750 0.750
0.250 0.250 0.250
0.000 0.000 0.000
```

=====

Entry 7:
## LaTmBe (PBE)

Data for crystalline LaTmBe at its relaxed geometry.

Cell and atoms, written as POSCAR:
```
LaTmBe
1.0
0.000 3.410 3.410
3.410 0.000 3.410
3.410 3.410 0.000
La Tm Be
1 1 1
Direct
0.750 0.750 0.750
0.000 0.000 0.000
0.250 0.250 0.250
```

## Properties
Energy above the lowest structure with this stoichiometry ... 0 meV/atom

=====

Entry 8:
## LaBeW (PBE)

Data for crystalline LaBeW at its relaxed geometry.

Cell and atoms, written as POSCAR:
```
LaBeW
1.0
0.000 3.149 3.149
3.149 0.000 3.149
3.149 3.149 0.000
W La Be
1 1 1
Direct
0.000 0.000 0.000
0.750 0.750 0.750
0.250 0.250 0.250
```

## Properties
Energy above the lowest structure with this stoichiometry ... 0 meV/atom

=====

Entry 9:
## LaBeW (PBE)

Data for crystalline LaBeW at its relaxed geometry.

Cell and atoms, written as POSCAR:
```
LaBeW
1.0
0.000 3.332 3.332
3.332 0.000 3.332
3.332 3.332 0.000
Be W La
1 1 1
Direct
0.250 0.250 0.250
0.750 0.750 0.750
0.000 0.000 0.000
```

## Properties
Energy above the lowest structure with this stoichiometry ... 726 meV/atom

=====

Entry 10:
## LaBeZn (PBE)

Data for crystalline LaBeZn at its relaxed geometry.

Cell and atoms, written as POSCAR:
```
LaBeZn
1.0
2.611 -1.227 3.840
2.704 3.293 2.217
-1.245 1.591 4.358
La Be Zn
1 1 1
Direct
0.000 0.000 0.000
0.250 0.250 0.250
0.750 0.750 0.750
```

## Properties
Energy above the lowest structure with this stoichiometry ... 509 meV/atom

=====

Entry 11:
## LaBeZn (PBE)

Data for crystalline LaBeZn at its relaxed geometry.

Cell and atoms, written as POSCAR:
```
LaBeZn
1.0
0.000 3.216 3.216
3.216 0.000 3.216
3.216 3.216 0.000
Be Zn La
1 1 1
Direct
0.000 0.000 0.000
0.750 0.750 0.750
0.250 0.250 0.250
```

## Properties
Energy above the lowest structure with this stoichiometry ... 0 meV/atom

=====

Entry 12:
## La2BeZn (PBE)

Data for crystalline La2BeZn at its relaxed geometry.

Cell and atoms, written as POSCAR:
```
La2BeZn
1.0
-4.714 -0.901 -1.538
-3.900 1.459 2.839
-2.930 3.812 -1.511
Zn La Be
1 2 1
Direct
0.500 0.500 0.500
0.750 0.750 0.750
0.000 0.000 0.000
0.250 0.250 0.250
```

=====

Entry 13:
## LaZrBe (PBE)

Data for crystalline LaZrBe at its relaxed geometry.

Cell and atoms, written as POSCAR:
```
LaZrBe
1.0
0.000 3.306 3.306
3.306 0.000 3.306
3.306 3.306 0.000
Be Zr La
1 1 1
Direct
0.000 0.000 0.000
0.750 0.750 0.750
0.250 0.250 0.250
```

## Properties
Energy above the lowest structure with this stoichiometry ... 0 meV/atom

=====

Entry 14:
## LaZrBe (PBE)

Data for crystalline LaZrBe at its relaxed geometry.

Cell and atoms, written as POSCAR:
```
LaZrBe
1.0
-1.922 -3.740 -2.099
-0.875 -3.895 2.480
-4.433 -1.220 0.972
La Zr Be
1 1 1
Direct
0.000 0.000 0.000
0.750 0.750 0.750
0.250 0.250 0.250
```

## Properties
Energy above the lowest structure with this stoichiometry ... 771 meV/atom

=====

Entry 15:
## LiLuBe2 (PBE)

Data for crystalline LiLuBe2 at its relaxed geometry.

Cell and atoms, written as POSCAR:
```
LiLuBe2
1.0
0.000 3.036 3.036
3.036 0.000 3.036
3.036 3.036 0.000
Li Lu Be
1 1 2
Direct
0.500 0.500 0.500
0.250 0.250 0.250
0.750 0.750 0.750
0.000 0.000 0.000
```

=====

Entry 16:
## Li2LuBe (PBE)

Data for crystalline Li2LuBe at its relaxed geometry.

Cell and atoms, written as POSCAR:
```
Li2LuBe
1.0
-0.751 -1.335 4.319
-2.475 2.635 2.816
-4.191 -1.331 1.291
Be Li Lu
1 2 1
Direct
0.500 0.500 0.500
0.750 0.750 0.750
0.000 0.000 0.000
0.250 0.250 0.250
```

=====

Entry 17:
## LiLu2Be (PBE)

Data for crystalline LiLu2Be at its relaxed geometry.

Cell and atoms, written as POSCAR:
```
LiLu2Be
1.0
-0.835 -4.734 0.906
-4.427 -1.464 1.480
-2.848 -2.601 -3.008
Li Lu Be
1 2 1
Direct
0.500 0.500 0.500
0.750 0.750 0.750
0.000 0.000 0.000
0.250 0.250 0.250
```

=====

Entry 18:
## LiLuBeSe3 (PBE)

Data for crystalline LiLuBeSe3 at its relaxed geometry.

Cell and atoms, written as POSCAR:
```
LiLuBeSe3
1.0
5.848 3.344 -0.028
-6.571 0.107 1.481
2.140 -3.659 9.758
Be Se Li Lu
2 6 2 2
Direct
0.971 0.029 0.750
0.029 0.971 0.250
0.862 0.138 0.915
0.138 0.862 0.415
0.862 0.138 0.585
0.579 0.421 0.750
0.421 0.579 0.250
0.138 0.862 0.085
0.279 0.721 0.750
0.721 0.279 0.250
0.500 0.500 0.000
0.500 0.500 0.500
```

=====

Entry 19:
## Li6BeMo (PBE)

Data for crystalline Li6BeMo at its relaxed geometry.

Cell and atoms, written as POSCAR:
```
Li6BeMo
1.0
4.778 0.000 0.000
1.398 4.572 0.000
1.399 1.034 4.454
Li Mo Be
6 1 1
Direct
0.959 0.785 0.493
0.785 0.493 0.959
0.494 0.959 0.784
0.215 0.507 0.041
0.041 0.215 0.507
0.506 0.041 0.216
0.500 0.500 0.500
0.000 0.000 0.000
```

=====

Entry 20:
## LiBe2Mo (PBE)

Data for crystalline LiBe2Mo at its relaxed geometry.

Cell and atoms, written as POSCAR:
```
LiBe2Mo
1.0
-2.694 -2.835 -0.322
-3.302 0.183 2.112
-3.423 0.739 -1.771
Li Mo Be
1 1 2
Direct
0.500 0.500 0.500
0.250 0.250 0.250
0.000 0.000 0.000
0.750 0.750 0.750
```

=====

Entry 21:
## LiBeNb (PBE)

Data for crystalline LiBeNb at its relaxed geometry.

Cell and atoms, written as POSCAR:
```
LiBeNb
1.0
0.000 2.740 2.740
2.740 0.000 2.740
2.740 2.740 0.000
Li Be Nb
1 1 1
Direct
0.000 0.000 0.000
0.250 0.250 0.250
0.750 0.750 0.750
```

## Properties
Energy above the lowest structure with this stoichiometry ... 0 meV/atom

=====

Entry 22:
## LiBeNb (PBE)

Data for crystalline LiBeNb at its relaxed geometry.

Cell and atoms, written as POSCAR:
```
LiBeNb
1.0
-3.392 -1.254 -1.834
-3.548 1.754 0.880
-1.822 2.374 -2.736
Li Be Nb
1 1 1
Direct
0.750 0.750 0.750
0.250 0.250 0.250
0.000 0.000 0.000
```

## Properties
Energy above the lowest structure with this stoichiometry ... 295 meV/atom

=====

Entry 23:
## Li2BeNb (PBE)

Data for crystalline Li2BeNb at its relaxed geometry.

Cell and atoms, written as POSCAR:
```
Li2BeNb
1.0
0.000 2.959 2.959
2.959 0.000 2.959
2.959 2.959 0.000
Nb Li Be
1 2 1
Direct
0.250 0.250 0.250
0.000 0.000 0.000
0.750 0.750 0.750
0.500 0.500 0.500
```

=====

Entry 24:
## LiBeNbNi (PBE)

Data for crystalline LiBeNbNi at its relaxed geometry.

Cell and atoms, written as POSCAR:
```
LiBeNbNi
1.0
-1.730 1.620 3.281
0.892 3.794 1.093
-2.766 2.927 -0.407
Nb Be Li Ni
1 1 1 1
Direct
0.000 0.000 0.000
0.250 0.250 0.250
0.750 0.750 0.750
0.500 0.500 0.500
```

## Properties
Energy above the lowest structure with this stoichiometry ... 208 meV/atom

=====

Entry 25:
## LiBeNbNi (PBE)

Data for crystalline LiBeNbNi at its relaxed geometry.

Cell and atoms, written as POSCAR:
```
LiBeNbNi
1.0
0.000 2.915 2.915
2.915 0.000 2.915
2.915 2.915 0.000
Li Be Nb Ni
1 1 1 1
Direct
0.750 0.750 0.750
0.000 0.000 0.000
0.250 0.250 0.250
0.500 0.500 0.500
```

## Properties
Energy above the lowest structure with this stoichiometry ... 78 meV/atom

=====

Entry 26:
## LiBeNbNi (PBE)

Data for crystalline LiBeNbNi at its relaxed geometry.

Cell and atoms, written as POSCAR:
```
LiBeNbNi
1.0
1.837 -2.713 2.413
-0.114 0.465 4.040
-2.226 -2.533 2.277
Ni Be Li Nb
1 1 1 1
Direct
0.500 0.500 0.500
0.750 0.750 0.750
0.000 0.000 0.000
0.250 0.250 0.250
```

## Properties
Energy above the lowest structure with this stoichiometry ... 0 meV/atom

=====

Entry 27:
## LiBeNbPd (PBE)

Data for crystalline LiBeNbPd at its relaxed geometry.

Cell and atoms, written as POSCAR:
```
LiBeNbPd
1.0
0.000 2.958 2.958
2.958 0.000 2.958
2.958 2.958 0.000
Be Nb Pd Li
1 1 1 1
Direct
0.750 0.750 0.750
0.500 0.500 0.500
0.000 0.000 0.000
0.250 0.250 0.250
```

## Properties
Energy above the lowest structure with this stoichiometry ... 109 meV/atom

=====

Entry 28:
## LiBeNbPd (PBE)

Data for crystalline LiBeNbPd at its relaxed geometry.

Cell and atoms, written as POSCAR:
```
LiBeNbPd
1.0
0.000 3.032 3.032
3.032 0.000 3.032
3.032 3.032 0.000
Li Be Pd Nb
1 1 1 1
Direct
0.750 0.750 0.750
0.500 0.500 0.500
0.000 0.000 0.000
0.250 0.250 0.250
```

## Properties
Energy above the lowest structure with this stoichiometry ... 59 meV/atom

=====

Entry 29:
## LiBeNbPd (PBE)

Data for crystalline LiBeNbPd at its relaxed geometry.

Cell and atoms, written as POSCAR:
```
LiBeNbPd
1.0
0.000 3.006 3.006
3.006 0.000 3.006
3.006 3.006 0.000
Li Pd Be Nb
1 1 1 1
Direct
0.500 0.500 0.500
0.000 0.000 0.000
0.750 0.750 0.750
0.250 0.250 0.250
```

## Properties
Energy above the lowest structure with this stoichiometry ... 0 meV/atom

=====

Entry 30:
## LiBeNi (PBE)

Data for crystalline LiBeNi at its relaxed geometry.

Cell and atoms, written as POSCAR:
```
LiBeNi
1.0
0.000 2.578 2.578
2.578 0.000 2.578
2.578 2.578 0.000
Li Ni Be
1 1 1
Direct
0.250 0.250 0.250
0.750 0.750 0.750
0.000 0.000 0.000
```

## Properties
Energy above the lowest structure with this stoichiometry ... 0 meV/atom

=====

Entry 31:
## LiBeNiSn (PBE)

Data for crystalline LiBeNiSn at its relaxed geometry.

Cell and atoms, written as POSCAR:
```
LiBeNiSn
1.0
-1.309 -3.806 -1.154
-4.065 -0.976 0.234
-2.245 -0.469 -3.503
Be Ni Sn Li
1 1 1 1
Direct
0.500 0.500 0.500
0.750 0.750 0.750
0.000 0.000 0.000
0.250 0.250 0.250
```

## Properties
Energy above the lowest structure with this stoichiometry ... 0 meV/atom

=====

Number 1: uncorrected energy -5.2531 eV per atom. Number 2: uncorrected energy -4.8734 eV per atom. Number 3: uncorrected energy -5.1256 eV per atom. Number 4: uncorrected energy -5.0113 eV per atom. Number 5: uncorrected energy -5.3778 eV per atom. Number 6: uncorrected energy -5.0309 eV per atom. Number 7: uncorrected energy -3.6410 eV per atom. Number 8: uncorrected energy -6.0226 eV per atom. Number 9: uncorrected energy -5.2967 eV per atom. Number 10: uncorrected energy -2.6971 eV per atom. Number 11: uncorrected energy -3.2059 eV per atom. Number 12: uncorrected energy -3.3952 eV per atom. Number 13: uncorrected energy -5.2860 eV per atom. Number 14: uncorrected energy -4.5147 eV per atom. Number 15: uncorrected energy -3.3215 eV per atom. Number 16: uncorrected energy -2.7585 eV per atom. Number 17: uncorrected energy -3.2500 eV per atom. Number 18: uncorrected energy -4.7382 eV per atom. Number 19: uncorrected energy -2.5379 eV per atom. Number 20: uncorrected energy -4.6664 eV per atom. Number 21: uncorrected energy -4.3657 eV per atom. Number 22: uncorrected energy -4.0704 eV per atom. Number 23: uncorrected energy -3.9677 eV per atom. Number 24: uncorrected energy -5.1744 eV per atom. Number 25: uncorrected energy -5.3043 eV per atom. Number 26: uncorrected energy -5.3820 eV per atom. Number 27: uncorrected energy -5.2124 eV per atom. Number 28: uncorrected energy -5.2626 eV per atom. Number 29: uncorrected energy -5.3213 eV per atom. Number 30: uncorrected energy -3.4685 eV per atom. Number 31: uncorrected energy -3.9535 eV per atom.